Crystalline Pt2Cl at its relaxed geometry, computed with PBE.

Calculated values
Distance to the lowest polymorph of the same formula ... 0 meV per atom
Space group ... Fd-3m, No. 227
E ... -3.871 eV/atom
Spin magnetization ... 0.0 Bohr magnetons per cell

abc: 5.394 5.394 5.394
angles: 60.00 60.00 60.00
Element x y z (fractional)
Pt  0.125  0.625  0.625
Pt  0.625  0.625  0.625
Pt  0.625  0.625  0.125
Pt  0.625  0.125  0.625
Cl  0.250  0.250  0.250
Cl  0.000  0.000  0.000